1.
# GGA-PBE SnGe2Au, relaxed
# formation energy	0.159	eV/atom
# ρ	7.19	g cm⁻³
data_SnGe2Au
_symmetry_space_group_name_H-M 'I -4 2 d'
_symmetry_Int_Tables_number 122
_symmetry_space_group_name_Hall 'I -4 2bw'
_cell_length_a 5.4566
_cell_length_b 5.4566
_cell_length_c 14.3073
_cell_angle_alpha 90.00
_cell_angle_beta 90.00
_cell_angle_gamma 90.00
loop_
_atom_site_label
_atom_site_fract_x
_atom_site_fract_y
_atom_site_fract_z
Sn1 0.0000 0.0000 0.0000
Ge1 0.2098 0.2500 0.6250
Au1 0.0000 0.0000 0.5000

---

2.
# GGA-PBE NdHgGe2, relaxed
# formation energy	0.155	eV/atom
# ρ	5.54	g cm⁻³
data_NdHgGe2
_symmetry_space_group_name_H-M 'R -3 m'
_symmetry_Int_Tables_number 166
_symmetry_space_group_name_Hall '-R 3 2"'
_cell_length_a 5.0086
_cell_length_b 5.0086
_cell_length_c 20.2955
_cell_angle_alpha 90.00
_cell_angle_beta 90.00
_cell_angle_gamma 120.00
loop_
_atom_site_label
_atom_site_fract_x
_atom_site_fract_y
_atom_site_fract_z
Nd1 0.0000 0.0000 0.0000
Hg1 0.0000 0.0000 0.5000
Ge1 0.0000 0.0000 0.3704

---

3.
# GGA-PBE BaErSn2Cl8, relaxed
# ρ	3.41	g cm⁻³
# formation energy from raw total energies	-1.61	eV per atom
data_BaErSn2Cl8
_symmetry_space_group_name_H-M 'P -1'
_symmetry_Int_Tables_number 2
_symmetry_space_group_name_Hall '-P 1'
_cell_length_a 6.4567
_cell_length_b 7.0946
_cell_length_c 8.8323
_cell_angle_alpha 90.07
_cell_angle_beta 90.04
_cell_angle_gamma 96.69
loop_
_atom_site_label
_atom_site_fract_x
_atom_site_fract_y
_atom_site_fract_z
Ba1 0.0000 0.0000 0.0000
Er1 0.0000 0.0000 0.5000
Sn1 0.4994 0.4991 0.7475
Cl1 0.1284 0.7862 0.2838
Cl2 0.1283 0.7862 0.7160
Cl3 0.3585 0.2272 0.5005
Cl4 0.4286 0.2540 0.9993

---

4.
# GGA-PBE Tl3SeF, relaxed
# ρ	7.47	g cm⁻³
# relative energy among the computed polymorphs	0.000	eV/atom
# formation energy from raw total energies	-0.89	eV per atom
data_Tl3SeF
_symmetry_space_group_name_H-M 'P 1 21/m 1'
_symmetry_Int_Tables_number 11
_symmetry_space_group_name_Hall '-P 2yb'
_cell_length_a 7.8408
_cell_length_b 4.3615
_cell_length_c 9.2831
_cell_angle_alpha 90.00
_cell_angle_beta 95.02
_cell_angle_gamma 90.00
loop_
_atom_site_label
_atom_site_fract_x
_atom_site_fract_y
_atom_site_fract_z
Tl1 0.0090 0.2500 0.1900
Tl2 0.2975 0.7500 0.5412
Tl3 0.3833 0.7500 0.1470
Se1 0.2414 0.2500 0.9195
F1 0.3905 0.2500 0.4155